This record from the Alexandria database describes Hf2TcSnH after structural relaxation. The functional is PBE.

Properties
- uncorrected energy (eV/atom) = -7.811
- total moment (μB per formula unit) = 0.00

Geometry as POSCAR:
```
Hf2TcSnH
1.0
4.425 0.000 0.000
0.000 4.425 0.000
0.000 0.000 4.024
Hf Tc Sn H
2 1 1 1
direct
0.000 0.500 0.000
0.500 0.000 0.000
0.000 0.000 0.500
0.500 0.500 0.500
0.000 0.000 0.000
```